<a>
DyLuAl: relaxed, PBE-GGA.

The structure belongs to space group P3m1 (No. 156); the cell edges are 5.0196, 5.0196 and 3.5169 Å and the angles 90.00°, 90.00° and 120.00°. The inequivalent atoms are Dy at (0.0000, 0.0000, 0.0000), Lu at (0.6667, 0.3333, 0.4424) and Al at (0.3333, 0.6667, 0.6812).

=====

<b>
DyLuAl: relaxed, PBE-GGA.

The structure belongs to space group I4mm (No. 107); the cell edges are 3.410, 3.410 and 13.224 Å and the angles 90.00°, 90.00° and 90.00°. The inequivalent atoms are Dy at (0.000, 0.000, 0.000), Lu at (0.000, 0.000, 0.299) and Al at (0.000, 0.000, 0.653).

=====

What should be chosen as the least stable of them? Choose <a>.

=====

<a>
DyLu2Al: relaxed, PBE-GGA.

The structure belongs to space group P4/mmm (No. 123); the cell edges are 4.684, 4.684 and 4.708 Å and the angles 90.00°, 90.00° and 90.00°. The inequivalent atoms are Dy at (0.000, 0.000, 0.000), Lu at (0.000, 0.500, 0.500) and Al at (0.500, 0.500, 0.000).

=====

<b>
DyLu2Al: relaxed, PBE-GGA.

The structure belongs to space group Fm-3m (No. 225); the cell edges are 7.455, 7.455 and 7.455 Å and the angles 90.00°, 90.00° and 90.00°. The inequivalent atoms are Dy at (0.000, 0.000, 0.000), Lu at (0.250, 0.250, 0.250) and Al at (0.000, 0.000, 0.500).

=====

What should be chosen as the least stable of them? Choose <b>.

=====

<a>
DyLu2Al: relaxed, PBE-GGA.

The structure belongs to space group R-3m (No. 166, hexagonal axes); the cell edges are 3.3817, 3.3817 and 34.0838 Å and the angles 90.00°, 90.00° and 120.00°. The inequivalent atoms are Dy at (0.0000, 0.0000, 0.0000), Lu at (0.0000, 0.0000, 0.0996) and Al at (0.0000, 0.0000, 0.5000).

=====

<b>
DyLu2Al: relaxed, PBE-GGA.

The structure belongs to space group P4/mmm (No. 123); the cell edges are 3.469, 3.469 and 8.798 Å and the angles 90.00°, 90.00° and 90.00°. The inequivalent atoms are Dy at (0.000, 0.000, 0.000), Lu at (0.500, 0.500, 0.286) and Al at (0.000, 0.000, 0.500).

=====

What should be chosen as the least stable of them? Choose <a>.

=====

<a>
DyMgAl2: relaxed, PBE-GGA.

The structure belongs to space group P4/mmm (No. 123); the cell edges are 3.435, 3.435 and 7.170 Å and the angles 90.00°, 90.00° and 90.00°. The inequivalent atoms are Dy at (0.000, 0.000, 0.000), Mg at (0.000, 0.000, 0.500) and Al at (0.500, 0.500, 0.279).

=====

<b>
DyMgAl2: relaxed, PBE-GGA.

The structure belongs to space group P4/mmm (No. 123); the cell edges are 4.400, 4.400 and 4.323 Å and the angles 90.00°, 90.00° and 90.00°. The inequivalent atoms are Dy at (0.000, 0.000, 0.000), Mg at (0.500, 0.500, 0.000) and Al at (0.000, 0.500, 0.500).

=====

<c>
DyMgAl2: relaxed, PBE-GGA.

The structure belongs to space group Fm-3m (No. 225); the cell edges are 6.979, 6.979 and 6.979 Å and the angles 90.00°, 90.00° and 90.00°. The inequivalent atoms are Dy at (0.000, 0.000, 0.000), Mg at (0.000, 0.000, 0.500) and Al at (0.250, 0.250, 0.250).

=====

<d>
DyMgAl2: relaxed, PBE-GGA.

The structure belongs to space group R-3m (No. 166, hexagonal axes); the cell edges are 4.5623, 4.5623 and 14.9142 Å and the angles 90.00°, 90.00° and 120.00°. The inequivalent atoms are Dy at (0.0000, 0.0000, 0.0000), Mg at (0.0000, 0.0000, 0.5000) and Al at (0.0000, 0.0000, 0.2182).

=====

What should be chosen as the least stable of them? Choose <d>.

=====

<a>
Dy3MgAl2: relaxed, PBE-GGA.

The structure belongs to space group P4/mmm (No. 123); the cell edges are 3.630, 3.630 and 11.178 Å and the angles 90.00°, 90.00° and 90.00°. The inequivalent atoms are Dy at (0.000, 0.000, 0.000), Dy at (0.000, 0.000, 0.320), Mg at (0.500, 0.500, 0.500) and Al at (0.500, 0.500, 0.163).

=====

<b>
Dy3MgAl2: relaxed, PBE-GGA.

The structure belongs to space group P-3m1 (No. 164); the cell edges are 5.1625, 5.1625 and 12.6289 Å and the angles 90.00°, 90.00° and 120.00°. The inequivalent atoms are Dy at (0.0000, 0.0000, 0.2440), Dy at (0.3333, 0.6667, 0.4173), Dy at (0.3333, 0.6667, 0.9219), Mg at (0.3333, 0.6667, 0.6696), Al at (0.0000, 0.0000, 0.0000), Al at (0.0000, 0.0000, 0.5000) and Al at (0.3333, 0.6667, 0.1734).

=====

What should be chosen as the least stable of them? Choose <a>.

=====

<a>
Dy3Mg2Al: relaxed, PBE-GGA.

The structure belongs to space group P-3m1 (No. 164); the cell edges are 5.2486, 5.2486 and 12.8924 Å and the angles 90.00°, 90.00° and 120.00°. The inequivalent atoms are Dy at (0.0000, 0.0000, 0.2448), Dy at (0.3333, 0.6667, 0.4101), Dy at (0.3333, 0.6667, 0.9160), Mg at (0.0000, 0.0000, 0.0000), Mg at (0.0000, 0.0000, 0.5000), Mg at (0.3333, 0.6667, 0.6628) and Al at (0.3333, 0.6667, 0.1625).

=====

<b>
Dy3Mg2Al: relaxed, PBE-GGA.

The structure belongs to space group P4/mmm (No. 123); the cell edges are 3.668, 3.668 and 11.555 Å and the angles 90.00°, 90.00° and 90.00°. The inequivalent atoms are Dy at (0.000, 0.000, 0.000), Dy at (0.000, 0.000, 0.347), Mg at (0.500, 0.500, 0.171) and Al at (0.500, 0.500, 0.500).

=====

What should be chosen as the least stable of them? Choose <b>.